USnAu3 after structural relaxation, computed with GGA-PBE.

```
USnAu3
1.0
5.243 0.000 0.000
0.000 6.663 0.000
-1.750 0.000 6.330
U Sn Au
2 2 6
direct
0.149 0.250 0.238
0.851 0.750 0.762
0.086 0.750 0.278
0.914 0.250 0.722
0.318 0.515 0.638
0.318 0.985 0.638
0.445 0.750 0.021
0.555 0.250 0.979
0.682 0.015 0.362
0.682 0.485 0.362
```

Results
- calculated total energy (eV per cell) = -51.42

USnAu2 after structural relaxation, computed with GGA-PBE.

```
USnAu2
1.0
0.000 3.534 3.534
3.534 0.000 3.534
3.534 3.534 0.000
U Sn Au
1 1 2
direct
0.000 0.000 0.000
0.500 0.500 0.500
0.250 0.250 0.250
0.750 0.750 0.750
```

Results
- calculated total energy (eV per cell) = -22.75

U3Sn4Au3 after structural relaxation, computed with GGA-PBE.

```
U3Sn4Au3
1.0
-4.949 4.949 4.949
4.949 -4.949 4.949
4.949 4.949 -4.949
U Sn Au
6 8 6
direct
0.125 0.875 0.250
0.250 0.125 0.875
0.375 0.625 0.750
0.625 0.750 0.375
0.750 0.375 0.625
0.875 0.250 0.125
0.000 0.189 0.500
0.000 0.689 0.500
0.189 0.500 0.000
0.311 0.311 0.311
0.500 0.000 0.189
0.500 0.000 0.689
0.689 0.500 0.000
0.811 0.811 0.811
0.125 0.750 0.875
0.250 0.625 0.375
0.375 0.250 0.625
0.625 0.375 0.250
0.750 0.875 0.125
0.875 0.125 0.750
```

Results
- calculated total energy (eV per cell) = -122.09

USnAu4 after structural relaxation, computed with GGA-PBE.

```
USnAu4
1.0
0.000 3.997 3.997
3.997 0.000 3.997
3.997 3.997 0.000
U Sn Au
1 1 4
direct
0.000 0.000 0.000
0.250 0.250 0.250
0.125 0.625 0.625
0.625 0.125 0.625
0.625 0.625 0.125
0.625 0.625 0.625
```

Results
- offset from the most stable computed form (meV/atom) = 103.7